Entry from the Alexandria database: Li2AlNiO4 after structural relaxation (GGA+U).

extended XYZ file:
```
16
Lattice="3.726 -3.747 0.000 3.726 3.747 0.000 0.000 0.000 6.375" Properties=species:S:1:pos:R:3 pbc="T T T"
Li 3.726 2.381 4.781
Li 2.338 0.000 0.000
Li 5.114 0.000 3.188
Li 3.726 -2.381 1.594
Al 2.407 0.000 3.188
Al 5.045 0.000 0.000
Ni 3.726 2.421 1.594
Ni 3.726 -2.421 4.781
O 1.410 0.095 4.648
O 1.410 -0.095 1.727
O 3.558 1.367 3.100
O 3.894 1.367 0.087
O 3.558 -1.367 3.275
O 3.894 -1.367 6.288
O 6.042 0.095 4.914
O 6.042 -0.095 1.461
```

Computed properties:
**Total energy**: -90.66 eV/cell
**DOS at the Fermi energy**: 0.000 states/eV/f.u.